[1]
Computed, not measured: a relaxed structure of Fe2TcAuN at the PBE level of DFT.

The structure in POSCAR format:
```
Fe2TcAuN
1.0
-0.047 3.716 1.356
1.133 -1.286 3.565
3.834 0.435 -1.061
Fe Tc Au N
2 1 1 1
Cartesian
0.566 -0.643 1.783 Fe
-0.023 1.858 0.678 Fe
1.917 0.218 -0.531 Tc
2.460 1.432 1.930 Au
0.000 0.000 0.000 N
```

The electronic total energy is -7.75 eV per atom. Its uncorrected formation energy is 0.0296 eV/atom.


[2]
Computed, not measured: a relaxed structure of FeTe2AuN at the PBE level of DFT.

The structure in POSCAR format:
```
FeTe2AuN
1.0
5.300 0.000 0.000
0.000 5.300 0.000
0.000 0.000 3.386
N Te Fe Au
1 2 1 1
Cartesian
0.000 0.000 1.693 N
0.000 2.650 0.000 Te
2.650 0.000 0.000 Te
0.000 0.000 0.000 Fe
2.650 2.650 1.693 Au
```

The electronic total energy is -5.00 eV per atom. Its uncorrected formation energy is 0.2652 eV/atom.